Material: NbAs2RuBr
Method: DFT, PBE
State: optimized geometry

CIF file:
```
data_NbAs2RuBr
_cell_length_a 4.701
_cell_length_b 4.701
_cell_length_c 5.192
_cell_angle_alpha 90.00
_cell_angle_beta 90.00
_cell_angle_gamma 90.00
_space_group_name_H-M_alt 'P 4/m m m'
_space_group_IT_number 123
_space_group_name_Hall '-P 4 2'
loop_
_atom_site_label
_atom_site_type_symbol
_atom_site_fract_x
_atom_site_fract_y
_atom_site_fract_z
Nb1 Nb 0.000 0.000 0.000
As1 As 0.000 0.500 0.500
Ru1 Ru 0.500 0.500 0.500
Br1 Br 0.500 0.500 0.000
```

Output
Size of the total moment   3.000 μB per cell
Uncorrected formation energy   0.83 eV/atom
Polymorph energy (0 for the lowest one)   0 meV per atom